This record from the Alexandria database describes a relaxed structure of LiCdB3. The functional is PBE.

Properties
M_tot: 0.0 μB per formula unit
Volume: 12.1 Å³/atom
Excess energy over the best structure of this formula in the dataset: 0.0000 eV/atom
ΔH_f (0 K): 1.880 eV per atom

Lattice parameters (Å, degrees): 3.9240 3.9240 3.9240 90.00 90.00 90.00
Last column: nearest neighbours and their distance in Å.
Sites, in units of the cell vectors:
B (0.0000, 0.5000, 0.0000)  2 Li 1.96
B (0.0000, 0.0000, 0.5000)  2 Li 1.96
B (0.5000, 0.0000, 0.0000)  2 Li 1.96
Li (0.0000, 0.0000, 0.0000)  6 B 1.96
Cd (0.5000, 0.5000, 0.5000)  12 B 2.77

This record from the Alexandria database describes a relaxed structure of LaTmGaAg. The functional is PBE.

Properties
M_tot: 0.0 μB per formula unit
Volume: 25.3 Å³/atom
ΔH_f (0 K): -0.418 eV per atom

Lattice parameters (Å, degrees): 5.2304 5.2304 5.2304 60.00 60.00 60.00
Last column: nearest neighbours and their distance in Å.
Sites, in units of the cell vectors:
Tm (0.0000, 0.0000, 0.0000)  4 Ag 3.20, 4 Ga 3.20
Ga (0.7500, 0.7500, 0.7500)  4 Tm 3.20, 4 La 3.20
Ag (0.2500, 0.2500, 0.2500)  4 La 3.20, 4 Tm 3.20
La (0.5000, 0.5000, 0.5000)  4 Ga 3.20, 4 Ag 3.20

This record from the Alexandria database describes a relaxed structure of Li3La2Tl4. The functional is PBE.

Properties
M_tot: 0.0 μB per formula unit
Volume: 25.3 Å³/atom
ΔH_f (0 K): -0.300 eV per atom

Lattice parameters (Å, degrees): 6.7770 8.0942 8.9676 90.00 112.20 90.00
Last column: nearest neighbours and their distance in Å.
Sites, in units of the cell vectors:
Li (0.0000, 0.0000, 0.0000)  6 Tl 2.74-2.88
Li (0.5000, 0.5000, 0.0000)  6 Tl 2.74-2.88
Li (0.5251, 0.7500, 0.5501)  5 Tl 2.92-3.02
Li (0.9749, 0.2500, 0.4499)  5 Tl 2.92-3.02
Li (0.4749, 0.2500, 0.4499)  5 Tl 2.92-3.02
Li (0.0251, 0.7500, 0.5501)  5 Tl 2.92-3.02
La (0.1192, 0.5745, 0.2384)  8 Tl 3.36-3.54, 4 Li 3.40-3.58
La (0.8808, 0.4255, 0.7616)  8 Tl 3.36-3.54, 4 Li 3.40-3.58
La (0.3808, 0.0745, 0.7616)  8 Tl 3.36-3.54, 4 Li 3.40-3.58
La (0.6192, 0.9255, 0.2384)  8 Tl 3.36-3.54, 4 Li 3.40-3.58
Tl (0.7055, 0.7500, 0.9110)  3 Li 2.74-3.00
Tl (0.7945, 0.2500, 0.0890)  3 Li 2.74-3.00
Tl (0.2945, 0.2500, 0.0890)  3 Li 2.74-3.00
Tl (0.2055, 0.7500, 0.9110)  3 Li 2.74-3.00
Tl (0.1730, 0.9762, 0.3459)  5 Li 2.88-3.02
Tl (0.8270, 0.0238, 0.6541)  5 Li 2.88-3.02
Tl (0.3270, 0.4762, 0.6541)  5 Li 2.88-3.02
Tl (0.6730, 0.5238, 0.3459)  5 Li 2.88-3.02

This record from the Alexandria database describes a relaxed structure of YCoBr2. The functional is PBE.

Properties
M_tot: 2.0 μB per formula unit
Volume: 23.5 Å³/atom
Excess energy over the best structure of this formula in the dataset: 0.7040 eV/atom

Lattice parameters (Å, degrees): 5.1026 5.1026 5.1026 60.00 60.00 60.00
Last column: nearest neighbours and their distance in Å.
Sites, in units of the cell vectors:
Br (0.0000, 0.0000, 0.0000)  4 Y 3.12, 4 Br 3.12
Br (0.2500, 0.2500, 0.2500)  4 Br 3.12, 4 Co 3.12
Co (0.5000, 0.5000, 0.5000)  4 Br 3.12, 4 Y 3.12
Y (0.7500, 0.7500, 0.7500)  4 Co 3.12, 4 Br 3.12

This record from the Alexandria database describes a relaxed structure of Cs2BaNbI6. The functional is PBE.

Properties
M_tot: 3.0 μB per formula unit
Volume: 49.6 Å³/atom
VASP energy: -3.447 eV per atom

Lattice parameters (Å, degrees): 8.8856 8.8856 8.8856 60.00 60.00 90.00
Last column: nearest neighbours and their distance in Å.
Sites, in units of the cell vectors:
Cs (0.7500, 0.2500, 0.5000)  12 I 4.45
Cs (0.2500, 0.7500, 0.5000)  12 I 4.45
I (0.2680, 0.2680, 0.4640)  1 Nb 2.92
I (0.7320, 0.7320, 0.5360)  1 Nb 2.92
I (0.2680, 0.2680, 0.0000)  1 Nb 2.92
I (0.7320, 0.7320, 0.0000)  1 Nb 2.92
I (0.7320, 0.2680, 0.0000)  1 Nb 2.92
I (0.2680, 0.7320, 0.0000)  1 Nb 2.92
Nb (0.5000, 0.5000, 0.0000)  6 I 2.92
Ba (0.0000, 0.0000, 0.0000)  6 I 3.37

This record from the Alexandria database describes a relaxed structure of NaTa2O6. The functional is PBE.

Properties
M_tot: 1.1 μB per formula unit
Volume: 14.2 Å³/atom
Excess energy over the best structure of this formula in the dataset: 0.0000 eV/atom

Lattice parameters (Å, degrees): 5.4019 5.4019 5.0607 90.00 90.00 120.00
Last column: nearest neighbours and their distance in Å.
Sites, in units of the cell vectors:
Na (0.0000, 0.0000, 0.0000)  6 O 2.53
Ta (0.3333, 0.6667, 0.5000)  6 O 2.00
Ta (0.6667, 0.3333, 0.5000)  6 O 2.00
O (0.6150, 0.0000, 0.2850)  2 Ta 2.00
O (0.3850, 0.3850, 0.2850)  2 Ta 2.00
O (0.0000, 0.6150, 0.2850)  2 Ta 2.00
O (0.6150, 0.6150, 0.7150)  2 Ta 2.00
O (0.0000, 0.3850, 0.7150)  2 Ta 2.00
O (0.3850, 0.0000, 0.7150)  2 Ta 2.00

> Look up the volume of the second one.

25.3 Å³/atom

> Among the records above, which one has the lowest volume?

LiCdB3

> What is the volume in the sixth record?

14.2 Å³/atom

> The highest M_tot belongs to which entry?

Cs2BaNbI6